# 1
MgPaGe4: relaxed, PBE.

The structure belongs to space group F-43m (No. 216); the cell edges are 7.8070, 7.8070 and 7.8070 Å and the angles 90.00°, 90.00° and 90.00°. The asymmetric unit holds Mg at (0.0000, 0.0000, 0.0000), Pa at (0.2500, 0.2500, 0.7500) and Ge at (0.1256, 0.1256, 0.3744).

The calculated density is 7.62 g/cm³. The total energy comes out at -4.96 eV/atom. As for the total magnetization: 0.00 μB per cell. The formation energy from the elements comes out at -0.029 eV per atom.

# 2
MnNi2Br: relaxed, PBE.

The structure belongs to space group Cm (No. 8); the cell edges are 6.5754, 3.7881 and 5.9064 Å and the angles 90.00°, 90.12° and 90.00°. The asymmetric unit holds Mn at (0.0000, 0.0000, 0.0000), Ni at (0.1654, 0.5000, 0.7006), Ni at (0.3328, 0.0000, 0.7831) and Br at (0.1670, 0.5000, 0.2910).

The calculated density is 5.69 g/cm³. The total energy comes out at -5.32 eV/atom. As for the total magnetization: 11.48 μB per cell. As for the energy above the most stable polymorph in this dataset: 0.059 eV per atom. Its formation energy without anion corrections is 26.9 kJ/mol of atoms.